[1]
DFT (meta-GGA SCAN) results for a crystal of MnNbSb2Te relaxed with PBEsol.

Calculated values
E_tot: -160.577 eV/cell
calculated density: 5.7 g cm⁻³
space-group type: P4/mmm, No. 123
energy relative to the elements, uncorrected: 516 meV/atom

Unit cell a=5.309 b=5.315 c=5.315 alpha=90.00 beta=90.00 gamma=90.00
Last column: magnetic moment on the atom in μB.
Sites, in units of the cell vectors:
Sb 0.000 0.000 0.500  -0.04
Sb 0.000 0.500 0.000  -0.04
Nb 0.000 0.000 0.000  0.22
Te 0.500 0.000 0.000  -0.01
Mn 0.500 0.500 0.500  4.80

[2]
DFT (meta-GGA SCAN) results for a crystal of Mg2ZrScMo relaxed with PBEsol.

Calculated values
E_tot: -86.372 eV/cell
calculated density: 3.8 g cm⁻³
space-group type: P4/mmm, No. 123
E_form: 0.6794 eV/atom

Unit cell a=4.697 b=5.134 c=5.134 alpha=90.00 beta=90.00 gamma=90.00
Sites, in units of the cell vectors:
Sc 0.500 0.500 0.500
Mo 0.000 0.000 0.000
Mg 0.000 0.000 0.500
Mg 0.000 0.500 0.000
Zr 0.500 0.000 0.000

[3]
DFT (meta-GGA SCAN) results for a crystal of BeZnCl2 relaxed with PBEsol.

Calculated values
E_tot: -36.779 eV/cell
calculated density: 3.1 g cm⁻³
space-group type: Pm, No. 6
energy relative to the elements, uncorrected: -739 meV/atom

Unit cell a=3.103 b=5.325 c=5.065 alpha=111.44 beta=90.00 gamma=90.00
Sites, in units of the cell vectors:
Be 0.500 0.317 0.855
Zn 0.000 0.485 0.557
Cl 0.000 0.061 0.874
Cl 0.500 0.637 0.214

[4]
DFT (meta-GGA SCAN) results for a crystal of Li3SiTc relaxed with PBEsol.

Calculated values
E_tot: -47.641 eV/cell
calculated density: 2.7 g cm⁻³
space-group type: Pm-3m, No. 221
energy relative to the elements, uncorrected: 921 meV/atom

Unit cell a=4.484 b=4.484 c=4.484 alpha=90.00 beta=90.00 gamma=90.00
Last column: magnetic moment on the atom in μB.
Sites, in units of the cell vectors:
Si 0.000 0.000 0.000  0.04
Tc 0.500 0.500 0.500  3.74
Li 0.000 0.500 0.000  0.00
Li 0.000 0.000 0.500  0.00
Li 0.500 0.000 0.000  0.00

Question: Among the records above, which one has the lowest calculated density?
Answer: Li3SiTc